(1)
An optimized crystal structure of Zr2PdW. Source: Alexandria, functional PBE.

Properties
The calculation puts the density of states at the Fermi level at 5.20 states/eV/f.u. For the total energy, the calculation gives -8.191 eV/atom. As for the mass density: 9.7 Mg/m³. For the energy above the most stable polymorph in this dataset, the calculation gives 934 meV per atom. The energy of formation is 0.62 eV/atom.

Cell: 4.122 4.122 19.120 Å, 90.00 90.00 90.00°
Sites, in units of the cell vectors:
1 Zr 0.246 0.250 0.125
2 Zr 0.250 0.746 0.375
3 Zr 0.250 0.754 0.875
4 Zr 0.254 0.250 0.625
5 Zr 0.746 0.750 0.625
6 Zr 0.750 0.246 0.875
7 Zr 0.750 0.254 0.375
8 Zr 0.754 0.750 0.125
9 Pd 0.000 0.000 0.500
10 Pd 0.000 0.500 0.750
11 Pd 0.500 0.000 0.250
12 Pd 0.500 0.500 0.000
13 W 0.000 0.000 0.000
14 W 0.000 0.500 0.250
15 W 0.500 0.000 0.750
16 W 0.500 0.500 0.500



(2)
An optimized crystal structure of ZrPd3W. Source: Alexandria, functional PBE.

Properties
The calculation puts the density of states at the Fermi level at 6.59 states/eV/f.u. For the total energy, the calculation gives -6.525 eV/atom. As for the mass density: 9.1 Mg/m³. For the energy above the most stable polymorph in this dataset, the calculation gives 0 meV per atom. The energy of formation is 0.89 eV/atom.

Cell: 4.773 4.773 4.773 Å, 90.00 90.00 90.00°
Sites, in units of the cell vectors:
1 Zr 0.000 0.000 0.000
2 Pd 0.000 0.500 0.500
3 Pd 0.500 0.000 0.500
4 Pd 0.500 0.500 0.000
5 W 0.500 0.500 0.500



(3)
An optimized crystal structure of Zr2Pd2W. Source: Alexandria, functional PBE.

Properties
The calculation puts the density of states at the Fermi level at 5.50 states/eV/f.u. For the total energy, the calculation gives -8.227 eV/atom. As for the mass density: 10.4 Mg/m³. The energy of formation is -0.14 eV/atom.

Cell: 7.678 7.678 3.142 Å, 90.00 90.00 90.00°
Sites, in units of the cell vectors:
1 Zr 0.177 0.323 0.000
2 Zr 0.323 0.823 0.000
3 Zr 0.677 0.177 0.000
4 Zr 0.823 0.677 0.000
5 Pd 0.125 0.625 0.500
6 Pd 0.375 0.125 0.500
7 Pd 0.625 0.875 0.500
8 Pd 0.875 0.375 0.500
9 W 0.000 0.000 0.500
10 W 0.500 0.500 0.500



(4)
An optimized crystal structure of ZrPd2W. Source: Alexandria, functional PBE.

Properties
The calculation puts the density of states at the Fermi level at 5.26 states/eV/f.u. For the total energy, the calculation gives -7.928 eV/atom. As for the mass density: 11.7 Mg/m³. For the energy above the most stable polymorph in this dataset, the calculation gives 0 meV per atom. The energy of formation is 0.04 eV/atom.

Cell: 6.516 6.516 6.516 Å, 90.00 90.00 90.00°
Sites, in units of the cell vectors:
1 Zr 0.000 0.000 0.000
2 Zr 0.000 0.500 0.500
3 Zr 0.500 0.000 0.500
4 Zr 0.500 0.500 0.000
5 Pd 0.250 0.250 0.250
6 Pd 0.250 0.250 0.750
7 Pd 0.250 0.750 0.250
8 Pd 0.250 0.750 0.750
9 Pd 0.750 0.250 0.250
10 Pd 0.750 0.250 0.750
11 Pd 0.750 0.750 0.250
12 Pd 0.750 0.750 0.750
13 W 0.000 0.000 0.500
14 W 0.000 0.500 0.000
15 W 0.500 0.000 0.000
16 W 0.500 0.500 0.500



(5)
An optimized crystal structure of Zr2PdW. Source: Alexandria, functional PBE.

Properties
The calculation puts the density of states at the Fermi level at 2.26 states/eV/f.u. For the total energy, the calculation gives -9.126 eV/atom. As for the mass density: 10.4 Mg/m³. For the energy above the most stable polymorph in this dataset, the calculation gives 0 meV per atom. The energy of formation is -0.32 eV/atom.

Cell: 3.355 3.355 6.723 Å, 90.00 90.00 90.00°
Sites, in units of the cell vectors:
1 Zr 0.000 0.000 0.241
2 Zr 0.000 0.000 0.759
3 Pd 0.500 0.500 0.500
4 W 0.500 0.500 0.000



(6)
An optimized crystal structure of ZrPd2W. Source: Alexandria, functional PBE.

Properties
The calculation puts the density of states at the Fermi level at 4.28 states/eV/f.u. For the total energy, the calculation gives -7.670 eV/atom. As for the mass density: 11.0 Mg/m³. For the energy above the most stable polymorph in this dataset, the calculation gives 258 meV per atom. The energy of formation is 0.30 eV/atom.

Cell: 3.984 3.984 18.600 Å, 90.00 90.00 90.00°
Sites, in units of the cell vectors:
1 Zr 0.000 0.000 0.000
2 Zr 0.000 0.500 0.250
3 Zr 0.500 0.000 0.750
4 Zr 0.500 0.500 0.500
5 Pd 0.239 0.250 0.625
6 Pd 0.250 0.739 0.875
7 Pd 0.250 0.761 0.375
8 Pd 0.261 0.250 0.125
9 Pd 0.739 0.750 0.125
10 Pd 0.750 0.239 0.375
11 Pd 0.750 0.261 0.875
12 Pd 0.761 0.750 0.625
13 W 0.000 0.000 0.500
14 W 0.000 0.500 0.750
15 W 0.500 0.000 0.250
16 W 0.500 0.500 0.000



(7)
An optimized crystal structure of ZrPdW2. Source: Alexandria, functional PBE.

Properties
The calculation puts the density of states at the Fermi level at 2.91 states/eV/f.u. For the total energy, the calculation gives -9.227 eV/atom. As for the mass density: 12.4 Mg/m³. For the energy above the most stable polymorph in this dataset, the calculation gives 250 meV per atom. The energy of formation is 0.69 eV/atom.

Cell: 7.598 7.598 5.230 Å, 90.00 90.00 90.00°
Sites, in units of the cell vectors:
1 Zr 0.000 0.000 0.000
2 Zr 0.000 0.500 0.250
3 Zr 0.500 0.000 0.750
4 Zr 0.500 0.500 0.500
5 Pd 0.000 0.000 0.500
6 Pd 0.000 0.500 0.750
7 Pd 0.500 0.000 0.250
8 Pd 0.500 0.500 0.000
9 W 0.223 0.250 0.625
10 W 0.250 0.723 0.875
11 W 0.250 0.777 0.375
12 W 0.277 0.250 0.125
13 W 0.723 0.750 0.125
14 W 0.750 0.223 0.375
15 W 0.750 0.277 0.875
16 W 0.777 0.750 0.625



(8)
An optimized crystal structure of YPd2. Source: Alexandria, functional PBE.

Properties
The calculation puts the density of states at the Fermi level at 2.12 states/eV/f.u. For the total energy, the calculation gives -6.376 eV/atom. As for the mass density: 8.6 Mg/m³. The energy of formation is -0.76 eV/atom.

Cell: 3.584 3.584 9.090 Å, 90.00 90.00 90.00°
Sites, in units of the cell vectors:
1 Y 0.000 0.000 0.000
2 Y 0.500 0.500 0.500
3 Pd 0.000 0.000 0.332
4 Pd 0.000 0.000 0.668
5 Pd 0.500 0.500 0.168
6 Pd 0.500 0.500 0.832



(9)
An optimized crystal structure of YPd2. Source: Alexandria, functional PBE.

Properties
The calculation puts the density of states at the Fermi level at 0.89 states/eV/f.u. For the total energy, the calculation gives -6.449 eV/atom. As for the mass density: 8.7 Mg/m³. The energy of formation is -0.83 eV/atom.

Cell: 3.919 13.573 4.339 Å, 90.00 90.00 90.00°
Sites, in units of the cell vectors:
1 Y 0.000 0.103 0.250
2 Y 0.000 0.897 0.750
3 Y 0.500 0.397 0.750
4 Y 0.500 0.603 0.250
5 Pd 0.000 0.244 0.750
6 Pd 0.000 0.421 0.250
7 Pd 0.000 0.579 0.750
8 Pd 0.000 0.756 0.250
9 Pd 0.500 0.079 0.750
10 Pd 0.500 0.256 0.250
11 Pd 0.500 0.744 0.750
12 Pd 0.500 0.921 0.250



(10)
An optimized crystal structure of YPd. Source: Alexandria, functional PBE.

Properties
The calculation puts the density of states at the Fermi level at 3.46 states/eV/f.u. For the total energy, the calculation gives -5.928 eV/atom. As for the mass density: 5.1 Mg/m³. The energy of formation is -0.10 eV/atom.

Cell: 6.356 6.356 6.356 Å, 90.00 90.00 90.00°
Sites, in units of the cell vectors:
1 Y 0.000 0.000 0.000
2 Y 0.000 0.500 0.500
3 Y 0.500 0.000 0.500
4 Y 0.500 0.500 0.000
5 Pd 0.250 0.250 0.750
6 Pd 0.250 0.750 0.250
7 Pd 0.750 0.250 0.250
8 Pd 0.750 0.750 0.750



(11)
An optimized crystal structure of YPd6. Source: Alexandria, functional PBE.

Properties
The calculation puts the density of states at the Fermi level at 13.66 states/eV/f.u. For the total energy, the calculation gives -4.799 eV/atom. As for the mass density: 7.1 Mg/m³. The energy of formation is 0.58 eV/atom.

Cell: 6.967 6.967 6.967 Å, 90.00 90.00 90.00°
Sites, in units of the cell vectors:
1 Y 0.000 0.000 0.000
2 Y 0.500 0.500 0.500
3 Pd 0.000 0.250 0.500
4 Pd 0.000 0.500 0.250
5 Pd 0.000 0.500 0.750
6 Pd 0.000 0.750 0.500
7 Pd 0.250 0.000 0.500
8 Pd 0.250 0.500 0.000
9 Pd 0.500 0.000 0.250
10 Pd 0.500 0.000 0.750
11 Pd 0.500 0.250 0.000
12 Pd 0.500 0.750 0.000
13 Pd 0.750 0.000 0.500
14 Pd 0.750 0.500 0.000



(12)
An optimized crystal structure of YPd. Source: Alexandria, functional PBE.

Properties
The calculation puts the density of states at the Fermi level at 1.72 states/eV/f.u. For the total energy, the calculation gives -6.734 eV/atom. As for the mass density: 7.1 Mg/m³. The energy of formation is -0.91 eV/atom.

Cell: 3.778 10.593 4.537 Å, 90.00 90.00 90.00°
Sites, in units of the cell vectors:
1 Y 0.000 0.138 0.250
2 Y 0.000 0.862 0.750
3 Y 0.500 0.362 0.750
4 Y 0.500 0.638 0.250
5 Pd 0.000 0.415 0.250
6 Pd 0.000 0.585 0.750
7 Pd 0.500 0.085 0.750
8 Pd 0.500 0.915 0.250



- Look up the energy of formation of the third one.
  -0.14 eV/atom



- energy of formation of number 5 (Zr2PdW)?
  -0.32 eV/atom